# 1
Material: Te2AuS2
Method: DFT, PBE-GGA
State: relaxed

```
data_Te2AuS2
_chemical_formula_sum 'Te4 Au2 S4'
_space_group_name_H-M_alt 'P 4/m b m'
_space_group_IT_number 127
_space_group_name_Hall '-P 4 2ab'
_cell_length_a 6.657
_cell_length_b 6.657
_cell_length_c 5.629
_cell_angle_alpha 90.00
_cell_angle_beta 90.00
_cell_angle_gamma 90.00
loop_
_atom_site_label
_atom_site_fract_x
_atom_site_fract_y
_atom_site_fract_z
Te1 0.149 0.351 0.000
Au1 0.000 0.000 0.500
S1 0.162 0.338 0.500
```

The volume is 249 Å³ per cell. As for the distance to the lowest polymorph of the same formula: 0 meV per atom. The calculation puts the uncorrected formation energy at 207 meV/atom.

***

# 2
Material: TeAuS2
Method: DFT, PBE-GGA
State: relaxed

```
data_TeAuS2
_chemical_formula_sum 'Te4 Au4 S8'
_space_group_name_H-M_alt 'I -4 2 d'
_space_group_IT_number 122
_space_group_name_Hall 'I -4 2bw'
_cell_length_a 5.303
_cell_length_b 5.303
_cell_length_c 14.485
_cell_angle_alpha 90.00
_cell_angle_beta 90.00
_cell_angle_gamma 90.00
loop_
_atom_site_label
_atom_site_fract_x
_atom_site_fract_y
_atom_site_fract_z
Te1 0.000 0.000 0.000
Au1 0.000 0.000 0.500
S1 0.238 0.250 0.625
```

The volume is 407 Å³ per cell. The calculation puts the uncorrected formation energy at 304 meV/atom.

***

# 3
Material: Te2AuS
Method: DFT, PBE-GGA
State: relaxed

```
data_Te2AuS
_chemical_formula_sum 'Te4 Au2 S2'
_space_group_name_H-M_alt 'P -1'
_space_group_IT_number 2
_cell_length_a 4.190
_cell_length_b 6.869
_cell_length_c 8.772
_cell_angle_alpha 104.69
_cell_angle_beta 98.08
_cell_angle_gamma 101.54
loop_
_space_group_symop_operation_xyz
'x,y,z'
'-x,-y,-z'
loop_
_atom_site_label
_atom_site_fract_x
_atom_site_fract_y
_atom_site_fract_z
Te1 0.008 0.278 0.143
Te2 0.195 0.793 0.288
Au1 0.405 0.251 0.927
S1 0.303 0.179 0.375
```

The volume is 234 Å³ per cell. The calculation puts the uncorrected formation energy at 29 meV/atom.

***

# 4
Material: Te3AuS
Method: DFT, PBE-GGA
State: relaxed

```
data_Te3AuS
_chemical_formula_sum 'Te3 Au1 S1'
_space_group_name_H-M_alt 'P m -3 m'
_space_group_IT_number 221
_space_group_name_Hall '-P 4 2 3'
_cell_length_a 5.406
_cell_length_b 5.406
_cell_length_c 5.406
_cell_angle_alpha 90.00
_cell_angle_beta 90.00
_cell_angle_gamma 90.00
loop_
_atom_site_label
_atom_site_fract_x
_atom_site_fract_y
_atom_site_fract_z
Te1 0.000 0.000 0.500
Au1 0.000 0.000 0.000
S1 0.500 0.500 0.500
```

The volume is 158 Å³ per cell. As for the distance to the lowest polymorph of the same formula: 145 meV per atom. The calculation puts the uncorrected formation energy at 854 meV/atom.

***

# 5
Material: TeAuS2
Method: DFT, PBE-GGA
State: relaxed

```
data_TeAuS2
_chemical_formula_sum 'Te3 Au3 S6'
_space_group_name_H-M_alt 'R -3 m'
_space_group_IT_number 166
_space_group_name_Hall '-R 3 2"'
_cell_length_a 4.4343
_cell_length_b 4.4343
_cell_length_c 20.6743
_cell_angle_alpha 90.00
_cell_angle_beta 90.00
_cell_angle_gamma 120.00
loop_
_atom_site_label
_atom_site_fract_x
_atom_site_fract_y
_atom_site_fract_z
Te1 0.0000 0.0000 0.0000
Au1 0.0000 0.0000 0.5000
S1 0.0000 0.0000 0.3893
```

The volume is 352 Å³ per cell. The calculation puts the uncorrected formation energy at 150 meV/atom.

***

# 6
Material: Te2AuS
Method: DFT, PBE-GGA
State: relaxed

```
data_Te2AuS
_chemical_formula_sum 'Te8 Au4 S4'
_space_group_name_H-M_alt 'I -4 2 d'
_space_group_IT_number 122
_space_group_name_Hall 'I -4 2bw'
_cell_length_a 5.689
_cell_length_b 5.689
_cell_length_c 14.880
_cell_angle_alpha 90.00
_cell_angle_beta 90.00
_cell_angle_gamma 90.00
loop_
_atom_site_label
_atom_site_fract_x
_atom_site_fract_y
_atom_site_fract_z
Te1 0.236 0.250 0.125
Au1 0.000 0.000 0.500
S1 0.000 0.000 0.000
```

The volume is 482 Å³ per cell. The calculation puts the uncorrected formation energy at 263 meV/atom.

***

# 7
Material: TeAuS5
Method: DFT, PBE-GGA
State: relaxed

```
data_TeAuS5
_chemical_formula_sum 'Te4 Au4 S20'
_space_group_name_H-M_alt 'C 1 2/c 1'
_space_group_IT_number 15
_cell_length_a 20.879
_cell_length_b 9.569
_cell_length_c 3.765
_cell_angle_alpha 90.00
_cell_angle_beta 100.02
_cell_angle_gamma 90.00
loop_
_space_group_symop_operation_xyz
'x,y,z'
'-x,-y,-z'
'-x,y,-z+1/2'
'x,-y,z+1/2'
'x+1/2,y+1/2,z'
'-x+1/2,-y+1/2,-z'
'-x+1/2,y+1/2,-z+1/2'
'x+1/2,-y+1/2,z+1/2'
loop_
_atom_site_label
_atom_site_fract_x
_atom_site_fract_y
_atom_site_fract_z
Te1 0.000 0.222 0.250
Au1 0.250 0.250 0.500
S1 0.000 0.390 0.750
S2 0.105 0.059 0.846
S3 0.179 0.441 0.430
```

The volume is 741 Å³ per cell. The calculation puts the uncorrected formation energy at 323 meV/atom.

***

# 8
Material: TeAuS2
Method: DFT, PBE-GGA
State: relaxed

```
data_TeAuS2
_chemical_formula_sum 'Te2 Au2 S4'
_space_group_name_H-M_alt 'P 1 21 1'
_space_group_IT_number 4
_cell_length_a 3.707
_cell_length_b 8.371
_cell_length_c 7.184
_cell_angle_alpha 90.00
_cell_angle_beta 90.07
_cell_angle_gamma 90.00
loop_
_space_group_symop_operation_xyz
'x,y,z'
'-x,y+1/2,-z'
loop_
_atom_site_label
_atom_site_fract_x
_atom_site_fract_y
_atom_site_fract_z
Te1 0.249 0.000 0.288
Au1 0.253 0.101 0.771
S1 0.248 0.765 0.100
S2 0.250 0.872 0.585
```

The volume is 223 Å³ per cell. The calculation puts the uncorrected formation energy at 116 meV/atom.